The following is a GGA+U calculation of a relaxed CrRePbO6 crystal, from Alexandria via LeMat-Bulk.

Lattice parameters (Å, degrees): 5.2400 5.2400 5.3118 90.00 90.00 120.00
With the nearest neighbours (Å) after each atom.
Element x y z (fractional)
Cr: 0.0000 0.0000 0.0000  6 O 2.01
Re: 0.3333 0.6667 0.0000  6 O 1.91
Pb: 0.6667 0.3333 0.5000  6 O 2.55
O: 0.0556 0.3476 0.2023  1 Re 1.91, 1 Cr 2.01
O: 0.0556 0.7080 0.7977  1 Re 1.91, 1 Cr 2.01
O: 0.2920 0.3476 0.7977  1 Re 1.91, 1 Cr 2.01
O: 0.2920 0.9444 0.2023  1 Re 1.91, 1 Cr 2.01
O: 0.6524 0.7080 0.2023  1 Re 1.91, 1 Cr 2.01
O: 0.6524 0.9444 0.7977  1 Re 1.91, 1 Cr 2.01

Calculated values
The total magnetization is 3.00 μB per formula unit. Its final energy is -7.536 eV per atom. For the density, the calculation gives 7.12 Mg/m³. The space group is P312, No. 149.